Record 1
{
  "formula": "Ca3Pa2ZnN6",
  "functional": "PBE",
  "state": "relaxed",
  "lattice_angstrom": [[-1.501, 2.093, 2.470], [-4.899, -4.842, 1.126], [6.244, -2.648, 3.462]],
  "species": ["Pa", "Pa", "N", "N", "N", "N", "N", "N", "Ca", "Ca", "Ca", "Zn"],
  "fractional_positions": [[0.159, 0.314, 0.318], [0.841, 0.686, 0.682], [0.677, 0.555, 0.354], [0.991, 0.744, 0.983], [0.323, 0.445, 0.646], [0.009, 0.256, 0.017], [0.336, 0.900, 0.673], [0.664, 0.100, 0.327], [0.500, 0.500, 0.000], [0.841, 0.165, 0.681], [0.159, 0.835, 0.319], [0.500, 0.000, 0.000]],
  "e_form_raw_ev_per_atom": -1.1987,
  "spacegroup": "C2/m"
}

***

Record 2
{
  "formula": "Ca4Pa3ZnN8",
  "functional": "PBE",
  "state": "relaxed",
  "lattice_angstrom": [[-5.920, 3.724, 0.068], [-3.342, -5.367, 2.957], [5.791, 2.584, 2.958]],
  "species": ["N", "N", "N", "N", "N", "N", "N", "N", "Zn", "Pa", "Pa", "Pa", "Ca", "Ca", "Ca", "Ca"],
  "fractional_positions": [[0.250, 0.719, 0.499], [0.280, 0.281, 0.031], [0.249, 0.719, 0.969], [0.739, 0.718, 0.479], [0.720, 0.719, 0.969], [0.261, 0.282, 0.521], [0.751, 0.281, 0.031], [0.750, 0.281, 0.501], [0.000, 0.500, 0.000], [0.000, 0.500, 0.500], [0.500, 0.500, 0.000], [0.500, 0.500, 0.500], [0.500, 0.000, 0.000], [0.000, 0.000, 0.000], [0.500, 0.000, 0.500], [0.000, 0.000, 0.500]],
  "e_form_raw_ev_per_atom": -1.2354,
  "n_ef_per_ev_cell": 6.38,
  "spacegroup": "R-3m"
}